Computed, not measured: crystalline RbRhOF2 at its relaxed geometry at the GGA-PBE level of DFT.

```
RbRhOF2
1.0
4.888 0.000 0.000
0.000 4.888 0.000
0.000 0.000 4.425
Rb F O Rh
1 2 1 1
Direct
0.000 0.000 0.000
0.000 0.500 0.000
0.500 0.000 0.000
0.000 0.000 0.500
0.500 0.500 0.500
```

Computed properties:
Formation energy from raw total energies = 245 meV per atom

Computed, not measured: crystalline MgTe2Cl at its relaxed geometry at the GGA-PBE level of DFT.

```
MgTe2Cl
1.0
0.000 3.674 3.674
3.674 0.000 3.674
3.674 3.674 0.000
Cl Te Mg
1 2 1
Direct
0.500 0.500 0.500
0.750 0.750 0.750
0.250 0.250 0.250
0.000 0.000 0.000
```

Computed properties:
Formation energy from raw total energies = -104 meV per atom

Computed, not measured: crystalline K2LaW at its relaxed geometry at the GGA-PBE level of DFT.

```
K2LaW
1.0
4.581 0.000 0.000
0.000 4.581 0.000
0.000 0.000 6.631
K W La
2 1 1
Direct
0.000 0.000 0.000
0.500 0.500 0.000
0.000 0.500 0.500
0.500 0.000 0.500
```

Computed properties:
Energy of formation from the pure elements = 1.325 eV per atom

Table of magnetic moment (Bohr magnetons per cell), in record order: 2.9; 0.0; 3.1
Table of energy above the lowest structure with this stoichiometry (eV/atom), in record order: 1.8200; 0.6299; 0.4256